# 1
Entry from the Alexandria database: a relaxed Y3CdSb crystal (GGA-PBEsol).

SG: No. 221
Formation energy (no corrections) (eV per atom): 0.02
Calculated total energy (eV/f.u.): -26.10
Fermi-level density of states (states/eV/f.u.): 9.66

Cell and atoms, written as extended XYZ:
```
5
Lattice="5.591 0.000 0.000 0.000 5.591 0.000 0.000 0.000 5.591" Properties=species:S:1:pos:R:3 pbc="T T T"
Y 0.000 0.000 2.796
Y 0.000 2.796 0.000
Y 2.796 0.000 0.000
Cd 2.796 2.796 2.796
Sb 0.000 0.000 0.000
```

---

# 2
Entry from the Alexandria database: a relaxed ZnCdSb2 crystal (GGA-PBEsol).

SG: No. 122
Formation energy (no corrections) (eV per atom): 0.20
Calculated total energy (eV/f.u.): -11.09
Fermi-level density of states (states/eV/f.u.): 2.86

Cell and atoms, written as extended XYZ:
```
16
Lattice="6.449 0.000 0.000 0.000 6.449 0.000 0.000 0.000 11.342" Properties=species:S:1:pos:R:3 pbc="T T T"
Zn 0.000 0.000 0.000
Zn 0.000 3.224 2.836
Zn 3.224 0.000 8.507
Zn 3.224 3.224 5.671
Cd 0.000 0.000 5.671
Cd 0.000 3.224 8.507
Cd 3.224 0.000 2.836
Cd 3.224 3.224 0.000
Sb 1.443 1.612 1.418
Sb 1.612 4.668 4.253
Sb 1.612 5.006 9.924
Sb 1.781 1.612 7.089
Sb 4.668 4.837 7.089
Sb 4.837 1.443 9.924
Sb 4.837 1.781 4.253
Sb 5.006 4.837 1.418
```

---

# 3
Entry from the Alexandria database: a relaxed ZnCd2Sb crystal (GGA-PBEsol).

Energy above the most stable polymorph in this dataset (meV/atom): 0
SG: No. 12
Formation energy (no corrections) (eV per atom): 0.15
Calculated total energy (eV/f.u.): -7.95
Fermi-level density of states (states/eV/f.u.): 1.59

Cell and atoms, written as extended XYZ:
```
8
Lattice="5.741 0.000 0.000 0.000 10.907 0.000 -1.880 0.000 2.775" Properties=species:S:1:pos:R:3 pbc="T T T"
Zn 0.000 0.000 0.000
Zn 2.871 5.453 0.000
Cd 1.435 2.727 0.000
Cd 1.435 8.180 0.000
Cd 4.306 2.727 0.000
Cd 4.306 8.180 0.000
Sb 0.000 5.453 0.000
Sb 2.871 0.000 0.000
```

---

# 4
Entry from the Alexandria database: a relaxed ZnCd2Sb crystal (GGA-PBEsol).

Energy above the most stable polymorph in this dataset (meV/atom): 32
SG: No. 216
Formation energy (no corrections) (eV per atom): 0.18
Calculated total energy (eV/f.u.): -7.82
Fermi-level density of states (states/eV/f.u.): 1.91

Cell and atoms, written as extended XYZ:
```
16
Lattice="7.042 0.000 0.000 0.000 7.042 0.000 0.000 0.000 7.042" Properties=species:S:1:pos:R:3 pbc="T T T"
Zn 0.000 0.000 0.000
Zn 0.000 3.521 3.521
Zn 3.521 0.000 3.521
Zn 3.521 3.521 0.000
Cd 0.000 0.000 3.521
Cd 0.000 3.521 0.000
Cd 1.761 1.761 1.761
Cd 1.761 5.282 5.282
Cd 3.521 0.000 0.000
Cd 3.521 3.521 3.521
Cd 5.282 1.761 5.282
Cd 5.282 5.282 1.761
Sb 1.761 1.761 5.282
Sb 1.761 5.282 1.761
Sb 5.282 1.761 1.761
Sb 5.282 5.282 5.282
```

---

# 5
Entry from the Alexandria database: a relaxed ZrCd2Sb crystal (GGA-PBEsol).

SG: No. 6
Formation energy (no corrections) (eV per atom): -0.13
Calculated total energy (eV/f.u.): -16.56
Fermi-level density of states (states/eV/f.u.): 3.50

Cell and atoms, written as extended XYZ:
```
4
Lattice="2.976 0.000 0.000 0.000 5.040 0.000 -0.005 0.000 5.837" Properties=species:S:1:pos:R:3 pbc="T T T"
Zr 0.000 0.000 0.000
Cd 1.478 0.000 2.877
Cd 1.498 2.520 1.627
Sb 1.484 2.520 4.671
```

---

# 6
Entry from the Alexandria database: a relaxed ZrCd2Sb crystal (GGA-PBEsol).

SG: No. 65
Formation energy (no corrections) (eV per atom): -0.12
Calculated total energy (eV/f.u.): -16.53
Fermi-level density of states (states/eV/f.u.): 1.74

Cell and atoms, written as extended XYZ:
```
8
Lattice="5.760 0.000 0.000 0.000 9.548 0.000 0.000 0.000 3.202" Properties=species:S:1:pos:R:3 pbc="T T T"
Zr 0.000 0.000 0.000
Zr 2.880 4.774 0.000
Cd 1.440 2.387 1.601
Cd 1.440 7.161 1.601
Cd 4.320 2.387 1.601
Cd 4.320 7.161 1.601
Sb 0.000 4.774 0.000
Sb 2.880 0.000 0.000
```

---

# 7
Entry from the Alexandria database: a relaxed ZrCdSb2 crystal (GGA-PBEsol).

SG: No. 123
Formation energy (no corrections) (eV per atom): -0.22
Calculated total energy (eV/f.u.): -20.30
Fermi-level density of states (states/eV/f.u.): 2.57

Cell and atoms, written as extended XYZ:
```
4
Lattice="4.844 0.000 0.000 0.000 4.844 0.000 0.000 0.000 3.822" Properties=species:S:1:pos:R:3 pbc="T T T"
Zr 0.000 0.000 0.000
Cd 2.422 2.422 0.000
Sb 0.000 2.422 1.911
Sb 2.422 0.000 1.911
```

---

# 8
Entry from the Alexandria database: a relaxed ZrCdSb3 crystal (GGA-PBEsol).

SG: No. 221
Formation energy (no corrections) (eV per atom): 0.29
Calculated total energy (eV/f.u.): -22.50
Fermi-level density of states (states/eV/f.u.): 3.85

Cell and atoms, written as extended XYZ:
```
5
Lattice="5.457 0.000 0.000 0.000 5.457 0.000 0.000 0.000 5.457" Properties=species:S:1:pos:R:3 pbc="T T T"
Zr 0.000 0.000 0.000
Cd 2.729 2.729 2.729
Sb 0.000 0.000 2.729
Sb 0.000 2.729 0.000
Sb 2.729 0.000 0.000
```

---

# 9
Entry from the Alexandria database: a relaxed ZrCd2Sb crystal (GGA-PBEsol).

SG: No. 99
Formation energy (no corrections) (eV per atom): -0.11
Calculated total energy (eV/f.u.): -16.48
Fermi-level density of states (states/eV/f.u.): 2.78

Cell and atoms, written as extended XYZ:
```
4
Lattice="3.097 0.000 0.000 0.000 3.097 0.000 0.000 0.000 9.443" Properties=species:S:1:pos:R:3 pbc="T T T"
Zr 0.000 0.000 0.000
Cd 0.000 0.000 4.327
Cd 1.548 1.548 2.213
Sb 1.548 1.548 7.245
```

---

# 10
Entry from the Alexandria database: a relaxed ZrCdSb2 crystal (GGA-PBEsol).

SG: No. 123
Formation energy (no corrections) (eV per atom): -0.37
Calculated total energy (eV/f.u.): -20.89
Fermi-level density of states (states/eV/f.u.): 2.04

Cell and atoms, written as extended XYZ:
```
4
Lattice="3.796 0.000 0.000 0.000 3.796 0.000 0.000 0.000 6.305" Properties=species:S:1:pos:R:3 pbc="T T T"
Zr 0.000 0.000 0.000
Cd 0.000 0.000 3.152
Sb 1.898 1.898 1.489
Sb 1.898 1.898 4.816
```

---

# 11
Entry from the Alexandria database: a relaxed Sc3Cd crystal (GGA-PBEsol).

Energy above the most stable polymorph in this dataset (meV/atom): 57
SG: No. 139
Calculated total energy (eV/f.u.): -21.41
Fermi-level density of states (states/eV/f.u.): 6.23
Energy of formation (meV per atom): -99

Cell and atoms, written as extended XYZ:
```
8
Lattice="4.422 0.000 0.000 0.000 4.422 0.000 0.000 0.000 8.991" Properties=species:S:1:pos:R:3 pbc="T T T"
Sc 0.000 0.000 0.000
Sc 0.000 2.211 2.248
Sc 0.000 2.211 6.743
Sc 2.211 0.000 2.248
Sc 2.211 0.000 6.743
Sc 2.211 2.211 4.496
Cd 0.000 0.000 4.496
Cd 2.211 2.211 0.000
```

---

# 12
Entry from the Alexandria database: a relaxed Sc5Cd crystal (GGA-PBEsol).

Energy above the most stable polymorph in this dataset (meV/atom): 0
SG: No. 8
Calculated total energy (eV/f.u.): -34.69
Fermi-level density of states (states/eV/f.u.): 10.38
Energy of formation (meV per atom): -79

Cell and atoms, written as extended XYZ:
```
12
Lattice="11.524 0.000 0.000 0.000 3.237 0.000 -1.834 0.000 7.276" Properties=species:S:1:pos:R:3 pbc="T T T"
Sc 0.000 0.000 0.000
Sc -0.683 0.000 4.427
Sc 1.308 1.619 2.477
Sc 0.810 1.619 6.801
Sc 4.005 0.000 1.961
Sc 5.762 1.619 0.000
Sc 5.079 1.619 4.427
Sc 7.070 0.000 2.477
Sc 6.572 0.000 6.801
Sc 9.768 1.619 1.961
Cd 2.504 0.000 4.824
Cd 8.266 1.619 4.824
```

---

# 13
Entry from the Alexandria database: a relaxed Sc5Cd crystal (GGA-PBEsol).

Energy above the most stable polymorph in this dataset (meV/atom): 0
SG: No. 123
Calculated total energy (eV/f.u.): -34.70
Fermi-level density of states (states/eV/f.u.): 9.34
Energy of formation (meV per atom): -79

Cell and atoms, written as extended XYZ:
```
6
Lattice="3.227 0.000 0.000 0.000 3.227 0.000 0.000 0.000 13.083" Properties=species:S:1:pos:R:3 pbc="T T T"
Sc 0.000 0.000 0.000
Sc 0.000 0.000 4.508
Sc 0.000 0.000 8.575
Sc 1.613 1.613 2.253
Sc 1.613 1.613 10.830
Cd 1.613 1.613 6.541
```

---

# 14
Entry from the Alexandria database: a relaxed Sc5Cd3 crystal (GGA-PBEsol).

Energy above the most stable polymorph in this dataset (meV/atom): 0
SG: No. 65
Calculated total energy (eV/f.u.): -38.20
Fermi-level density of states (states/eV/f.u.): 10.95
Energy of formation (meV per atom): -198

Cell and atoms, written as extended XYZ:
```
16
Lattice="8.069 0.000 0.000 0.000 9.274 0.000 0.000 0.000 4.642" Properties=species:S:1:pos:R:3 pbc="T T T"
Sc 0.000 0.000 0.000
Sc 1.864 4.637 2.321
Sc 2.017 2.319 0.000
Sc 2.017 6.956 0.000
Sc 2.171 0.000 2.321
Sc 4.034 4.637 0.000
Sc 5.898 0.000 2.321
Sc 6.051 2.319 0.000
Sc 6.051 6.956 0.000
Sc 6.205 4.637 2.321
Cd 0.000 2.127 2.321
Cd 0.000 4.637 0.000
Cd 0.000 7.148 2.321
Cd 4.034 0.000 0.000
Cd 4.034 2.511 2.321
Cd 4.034 6.764 2.321
```

---

# 15
Entry from the Alexandria database: a relaxed Sc5Cd crystal (GGA-PBEsol).

Energy above the most stable polymorph in this dataset (meV/atom): 1
SG: No. 65
Calculated total energy (eV/f.u.): -34.69
Fermi-level density of states (states/eV/f.u.): 9.09
Energy of formation (meV per atom): -78

Cell and atoms, written as extended XYZ:
```
12
Lattice="4.430 0.000 0.000 0.000 13.801 0.000 0.000 0.000 4.410" Properties=species:S:1:pos:R:3 pbc="T T T"
Sc 0.000 0.000 0.000
Sc 0.000 2.230 2.205
Sc 0.000 4.558 0.000
Sc 0.000 9.243 0.000
Sc 0.000 11.571 2.205
Sc 2.215 2.343 0.000
Sc 2.215 4.670 2.205
Sc 2.215 6.901 0.000
Sc 2.215 9.131 2.205
Sc 2.215 11.459 0.000
Cd 0.000 6.901 2.205
Cd 2.215 0.000 2.205
```